Rb2RuSBr6 after structural relaxation. Source: Alexandria via LeMat-Bulk, functional PBE.

```
Rb2RuSBr6
1.0
-4.079 4.079 5.052
4.079 -4.079 5.052
4.079 4.079 -5.052
Rb Ru S Br
2 1 1 6
Direct
0.250 0.750 0.500 Rb
0.750 0.250 0.500 Rb
0.000 0.000 0.000 Ru
0.500 0.500 0.000 S
0.219 0.219 0.438 Br
0.219 0.781 0.000 Br
0.255 0.255 0.000 Br
0.745 0.745 0.000 Br
0.781 0.219 0.000 Br
0.781 0.781 0.562 Br
```

Results
- size of the total moment (μB/cell) = 2.3
- SG = I4/mmm, No. 139
- E (eV per atom) = -3.157